The following is a DFT calculation (PBE) of crystalline AlAg2Ir at its relaxed geometry.

Cell lengths 9.3547, 9.3547, 9.3547 Å; angles 17.46, 17.46, 17.46 degrees
Site moments in Bohr magnetons follow the coordinates.
Atoms (fractional coordinates):
Ir (0.7500, 0.7500, 0.7500)  0.38
Al (0.2500, 0.2500, 0.2500)  0.01
Ag (0.9972, 0.9972, 0.9972)  0.01
Ag (0.5028, 0.5028, 0.5028)  0.01

As for the crystal system: trigonal. The calculation puts the formation energy at 0.2122 eV per atom.


The following is a DFT calculation (PBE) of crystalline Zn6S5Cl2 at its relaxed geometry.

Cell lengths 10.6744, 10.6744, 8.0065 Å; angles 85.93, 85.93, 44.13 degrees
Atoms (fractional coordinates):
Zn (0.2590, 0.7420, 0.8183)
Zn (0.8198, 0.2785, 0.6432)
Zn (0.2580, 0.7410, 0.1817)
Zn (0.7215, 0.1802, 0.3568)
Zn (0.5203, 0.8071, 0.0104)
Zn (0.6876, 0.6618, 0.6596)
Zn (0.3382, 0.3124, 0.3404)
Zn (0.1929, 0.4797, 0.9896)
Zn (0.1946, 0.1792, 0.7356)
Zn (0.2428, 0.1186, 0.2371)
Zn (0.8814, 0.7572, 0.7629)
Zn (0.8208, 0.8054, 0.2644)
S (0.7946, 0.7138, 0.0184)
S (0.7083, 0.8446, 0.5417)
S (0.1554, 0.2917, 0.4583)
S (0.2862, 0.2054, 0.9816)
S (0.3846, 0.8552, 0.7570)
S (0.8752, 0.3878, 0.8019)
S (0.3931, 0.8240, 0.2635)
S (0.1760, 0.6069, 0.7365)
S (0.6122, 0.1248, 0.1981)
S (0.1448, 0.6154, 0.2430)
Cl (0.9802, 0.0198, 0.5000)
Cl (0.0191, 0.9809, 0.0000)
Cl (0.4980, 0.5020, 0.0000)
Cl (0.5600, 0.4400, 0.5000)

As for the crystal system: monoclinic. Its uncorrected formation energy is -807 kJ/mol of formula units.


The following is a DFT calculation (PBE) of crystalline Eu3MgCl at its relaxed geometry.

Cell lengths 5.6060, 5.6060, 5.6060 Å; angles 90.00, 90.00, 90.00 degrees
Site moments in Bohr magnetons follow the coordinates.
Atoms (fractional coordinates):
Eu (0.0000, 0.5000, 0.0000)  7.06
Eu (0.0000, 0.0000, 0.5000)  7.06
Eu (0.5000, 0.0000, 0.0000)  7.06
Mg (0.5000, 0.5000, 0.5000)  0.01
Cl (0.0000, 0.0000, 0.0000)  -0.06

As for the crystal system: cubic. Its uncorrected formation energy is -274 kJ/mol of formula units.


The following is a DFT calculation (PBE) of crystalline Na2NiP4 at its relaxed geometry.

Cell lengths 4.4022, 4.4022, 8.2736 Å; angles 74.57, 74.57, 90.00 degrees
Atoms (fractional coordinates):
Ni (0.0000, 0.0000, 0.0000)
Na (0.6619, 0.6619, 0.6763)
Na (0.3381, 0.3381, 0.3237)
P (0.8553, 0.8553, 0.2893)
P (0.1447, 0.1447, 0.7107)
P (0.0000, 0.5000, 0.0000)
P (0.5000, 0.0000, 0.0000)

As for the crystal system: tetragonal. The calculation puts the formation energy at 0.2977 eV per atom.


The following is a DFT calculation (PBE) of crystalline Ba2TbPbSe4 at its relaxed geometry.

Cell lengths 4.4194, 7.7358, 7.7953 Å; angles 108.98, 90.00, 90.00 degrees
Atoms (fractional coordinates):
Ba (0.5000, 0.0000, 0.5000)
Ba (0.0000, 0.5000, 0.5000)
Tb (0.5000, 0.5000, 0.0000)
Pb (0.0000, 0.0000, 0.0000)
Se (0.5000, 0.2543, 0.2228)
Se (0.5000, 0.7457, 0.7772)
Se (0.0000, 0.2717, 0.7834)
Se (0.0000, 0.7283, 0.2166)

As for the crystal system: monoclinic. Its uncorrected formation energy is -1203 kJ/mol of formula units.


The following is a DFT calculation (PBE) of crystalline ScMnZn2Ge at its relaxed geometry.

Cell lengths 4.5781, 4.4798, 4.5781 Å; angles 90.00, 90.00, 90.00 degrees
Site moments in Bohr magnetons follow the coordinates.
Atoms (fractional coordinates):
Sc (0.5000, 0.5000, 0.5000)  0.04
Ge (0.0000, 0.5000, 0.0000)  -0.05
Mn (0.0000, 0.0000, 0.0000)  1.65
Zn (0.0000, 0.0000, 0.5000)  0.00
Zn (0.5000, 0.0000, 0.0000)  -0.04

As for the crystal system: tetragonal. For the energy above the most stable polymorph in this dataset, the calculation gives 0 meV per atom. The calculation puts the formation energy at 0.1271 eV per atom.